Crystalline SrNdSe2 at its relaxed geometry, computed with PBE.

Output
density: 5.579 g cm⁻³
size of the total moment: 0.0000 μB/atom
raw formation energy: -1.84 eV/atom
ΔE to the lowest computed polymorph: 31 kJ/mol of formula units

The structure in CIF format:
```
data_SrNdSe2
_chemical_formula_sum 'Sr1 Nd1 Se2'
_symmetry_space_group_name_H-M 'P 1'
_symmetry_Int_Tables_number 1
_cell_length_a 7.916
_cell_length_b 7.916
_cell_length_c 7.916
_cell_angle_alpha 30.90
_cell_angle_beta 30.90
_cell_angle_gamma 30.90
loop_
_symmetry_equiv_pos_as_xyz
'x,y,z'
loop_
_atom_site_label
_atom_site_fract_x
_atom_site_fract_y
_atom_site_fract_z
Sr1 0.000 0.000 0.000
Nd1 0.827 0.827 0.827
Se1 0.241 0.241 0.241
Se2 0.416 0.416 0.416
```